VASP calculation (PBE with a Hubbard U) on a relaxed structure of GaCoNO.

Cell lengths 3.8477, 3.8477, 6.7655 Å; angles 90.00, 90.00, 90.00 degrees
Space group P4/nmm (No. 129, origin choice 2)
Unique sites:
Ga  0.2500  0.7500  0.0000 (multiplicity 2)
Co  0.2500  0.2500  0.4310 (multiplicity 2)
N  0.2500  0.2500  0.0859 (multiplicity 2)
O  0.2500  0.7500  0.5000 (multiplicity 2)

ΔE to the lowest computed polymorph: 0.411 eV/atom
Crystal system: tetragonal
Uncorrected energy: -5.637 eV/atom
Total magnetic moment: 5.79 μB per cell